# RbCeSO5, optimized geometry, DFT GGA-PBE
data_RbCeSO5
_cell_length_a 7.677
_cell_length_b 10.230
_cell_length_c 8.120
_cell_angle_alpha 90.00
_cell_angle_beta 114.88
_cell_angle_gamma 90.00
_symmetry_space_group_name_H-M 'C 1 2/c 1'
_symmetry_Int_Tables_number 15
loop_
_symmetry_equiv_pos_as_xyz
'x,y,z'
'-x,-y,-z'
'-x,y,-z+1/2'
'x,-y,z+1/2'
'x+1/2,y+1/2,z'
'-x+1/2,-y+1/2,-z'
'-x+1/2,y+1/2,-z+1/2'
'x+1/2,-y+1/2,z+1/2'
loop_
_atom_site_label
_atom_site_fract_x
_atom_site_fract_y
_atom_site_fract_z
Rb1 0.000 0.164 0.250
Ce1 0.000 0.500 0.000
S1 0.000 0.185 0.750
O1 0.000 0.426 0.250
O2 0.078 0.270 0.646
O3 0.155 0.100 0.880
# Formation energy (no corrections) = -2.147 eV per atom

***

# RbCeSO, optimized geometry, DFT GGA-PBE
data_RbCeSO
_cell_length_a 6.734
_cell_length_b 3.889
_cell_length_c 7.830
_cell_angle_alpha 90.00
_cell_angle_beta 106.45
_cell_angle_gamma 90.00
_symmetry_space_group_name_H-M 'C 1 m 1'
_symmetry_Int_Tables_number 8
loop_
_symmetry_equiv_pos_as_xyz
'x,y,z'
'x,-y,z'
'x+1/2,y+1/2,z'
'x+1/2,-y+1/2,z'
loop_
_atom_site_label
_atom_site_fract_x
_atom_site_fract_y
_atom_site_fract_z
Rb1 0.000 0.000 0.000
Ce1 0.159 0.000 0.472
S1 0.070 0.500 0.707
O1 0.285 0.500 0.347
# Formation energy (no corrections) = -2.052 eV per atom

***

# Rb3CeSb2O9, optimized geometry, DFT GGA-PBE
data_Rb3CeSb2O9
_cell_length_a 5.9599
_cell_length_b 5.9599
_cell_length_c 7.3420
_cell_angle_alpha 90.00
_cell_angle_beta 90.00
_cell_angle_gamma 120.00
_symmetry_space_group_name_H-M 'P -3 m 1'
_symmetry_Int_Tables_number 164
_symmetry_space_group_name_Hall '-P 3 2"'
loop_
_atom_site_label
_atom_site_fract_x
_atom_site_fract_y
_atom_site_fract_z
Rb1 0.0000 0.0000 0.0000
Rb2 0.3333 0.6667 0.6659
Ce1 0.0000 0.0000 0.5000
Sb1 0.3333 0.6667 0.1593
O1 0.0000 0.5000 0.0000
O2 0.1752 0.3504 0.3168
# Formation energy (no corrections) = -1.792 eV per atom

***

# RbCe2SbO8, optimized geometry, DFT GGA-PBE
data_RbCe2SbO8
_cell_length_a 6.936
_cell_length_b 6.946
_cell_length_c 8.152
_cell_angle_alpha 90.00
_cell_angle_beta 90.15
_cell_angle_gamma 90.00
_symmetry_space_group_name_H-M 'C 1 2/m 1'
_symmetry_Int_Tables_number 12
loop_
_symmetry_equiv_pos_as_xyz
'x,y,z'
'-x,-y,-z'
'-x,y,-z'
'x,-y,z'
'x+1/2,y+1/2,z'
'-x+1/2,-y+1/2,-z'
'-x+1/2,y+1/2,-z'
'x+1/2,-y+1/2,z'
loop_
_atom_site_label
_atom_site_fract_x
_atom_site_fract_y
_atom_site_fract_z
Rb1 0.000 0.000 0.000
Ce1 0.000 0.500 0.285
Sb1 0.000 0.000 0.500
O1 0.001 0.195 0.684
O2 0.106 0.500 0.000
O3 0.207 0.500 0.501
# Formation energy (no corrections) = -2.219 eV per atom

***

# RbCeSbO5, optimized geometry, DFT GGA-PBE
data_RbCeSbO5
_cell_length_a 7.827
_cell_length_b 10.475
_cell_length_c 8.194
_cell_angle_alpha 90.00
_cell_angle_beta 114.40
_cell_angle_gamma 90.00
_symmetry_space_group_name_H-M 'C 1 2/c 1'
_symmetry_Int_Tables_number 15
loop_
_symmetry_equiv_pos_as_xyz
'x,y,z'
'-x,-y,-z'
'-x,y,-z+1/2'
'x,-y,z+1/2'
'x+1/2,y+1/2,z'
'-x+1/2,-y+1/2,-z'
'-x+1/2,y+1/2,-z+1/2'
'x+1/2,-y+1/2,z+1/2'
loop_
_atom_site_label
_atom_site_fract_x
_atom_site_fract_y
_atom_site_fract_z
Rb1 0.000 0.172 0.250
Ce1 0.000 0.500 0.000
Sb1 0.000 0.187 0.750
O1 0.000 0.445 0.250
O2 0.089 0.292 0.611
O3 0.192 0.076 0.905
# Formation energy (no corrections) = -2.173 eV per atom

***

# Rb2CeSb2O6, optimized geometry, DFT GGA-PBE
data_Rb2CeSb2O6
_cell_length_a 10.791
_cell_length_b 6.229
_cell_length_c 7.695
_cell_angle_alpha 90.00
_cell_angle_beta 95.53
_cell_angle_gamma 90.00
_symmetry_space_group_name_H-M 'C 1 2/m 1'
_symmetry_Int_Tables_number 12
loop_
_symmetry_equiv_pos_as_xyz
'x,y,z'
'-x,-y,-z'
'-x,y,-z'
'x,-y,z'
'x+1/2,y+1/2,z'
'-x+1/2,-y+1/2,-z'
'-x+1/2,y+1/2,-z'
'x+1/2,-y+1/2,z'
loop_
_atom_site_label
_atom_site_fract_x
_atom_site_fract_y
_atom_site_fract_z
Rb1 0.179 0.000 0.174
Ce1 0.000 0.500 0.000
Sb1 0.147 0.000 0.709
O1 0.076 0.237 0.836
O2 0.186 0.500 0.163
# Formation energy (no corrections) = -2.013 eV per atom

***

# Rb3CeSb2O8, optimized geometry, DFT GGA-PBE
data_Rb3CeSb2O8
_cell_length_a 6.3349
_cell_length_b 6.3349
_cell_length_c 8.1553
_cell_angle_alpha 90.00
_cell_angle_beta 90.00
_cell_angle_gamma 120.00
_symmetry_space_group_name_H-M 'P -3 m 1'
_symmetry_Int_Tables_number 164
_symmetry_space_group_name_Hall '-P 3 2"'
loop_
_atom_site_label
_atom_site_fract_x
_atom_site_fract_y
_atom_site_fract_z
Rb1 0.0000 0.0000 0.0000
Rb2 0.3333 0.6667 0.6809
Ce1 0.0000 0.0000 0.5000
Sb1 0.3333 0.6667 0.2351
O1 0.1714 0.3428 0.3306
O2 0.3333 0.6667 0.0055
# Formation energy (no corrections) = -1.851 eV per atom

***

# RbCe2Sc2O7, optimized geometry, DFT GGA-PBE
data_RbCe2Sc2O7
_cell_length_a 4.432
_cell_length_b 4.432
_cell_length_c 19.441
_cell_angle_alpha 90.00
_cell_angle_beta 90.00
_cell_angle_gamma 90.00
_symmetry_space_group_name_H-M 'I 4/m m m'
_symmetry_Int_Tables_number 139
_symmetry_space_group_name_Hall '-I 4 2'
loop_
_atom_site_label
_atom_site_fract_x
_atom_site_fract_y
_atom_site_fract_z
Rb1 0.000 0.000 0.000
Ce1 0.000 0.000 0.385
Sc1 0.000 0.500 0.250
O1 0.000 0.000 0.259
O2 0.000 0.000 0.500
O3 0.000 0.500 0.142
# Formation energy (no corrections) = -3.141 eV per atom

***

Let's list density in order: 3.88; 4.62; 5.76; 5.20; 4.64; 4.20; 4.50; 4.94 g/cm3.